No. 1
Material: PmPrSmHo
Method: DFT, PBE
State: relaxed

Computed properties:
DOS at the Fermi energy in states/eV per atom: 1.462
Energy relative to the elements in eV/atom: 0.017

Structure (extended XYZ):
```
4
Lattice="5.137 0.000 0.000 0.000 5.139 0.000 -2.568 -2.569 5.131" Properties=species:S:1:pos:R:3 pbc="T T T"
Pm 2.568 0.000 2.005
Pr 0.000 0.000 4.573
Sm 0.000 2.569 2.007
Ho 2.568 2.569 4.573
```

***

No. 2
Material: Pm2PrSm2Ho
Method: DFT, PBE
State: relaxed

Computed properties:
DOS at the Fermi energy in states/eV per atom: 1.717
Energy relative to the elements in eV/atom: 0.251

Structure (extended XYZ):
```
12
Lattice="3.446 0.000 0.000 0.000 6.674 0.000 0.000 0.000 18.062" Properties=species:S:1:pos:R:3 pbc="T T T"
Pm 1.723 4.836 5.706
Pm 1.723 1.838 12.356
Pm 0.000 5.174 14.736
Pm 0.000 1.499 3.325
Pr 0.000 0.000 0.000
Pr 1.723 3.337 9.031
Sm 1.723 1.466 6.356
Sm 0.000 4.803 2.675
Sm 1.723 5.208 11.706
Sm 0.000 1.871 15.386
Ho 1.723 3.337 0.000
Ho 0.000 0.000 9.031
```

***

No. 3
Material: PmPr2Sm2Ho4
Method: DFT, PBE
State: relaxed

Computed properties:
DOS at the Fermi energy in states/eV per atom: 1.359
Energy relative to the elements in eV/atom: 0.001

Structure (extended XYZ):
```
9
Lattice="-1.652 -3.239 -0.117 5.967 -0.731 -7.488 3.841 -2.268 8.565" Properties=species:S:1:pos:R:3 pbc="T T T"
Pm 0.000 0.000 0.000
Pr 7.269 -3.835 3.508
Pr 0.887 -2.403 -2.548
Sm 4.103 -4.046 -2.495
Sm 4.053 -2.192 3.454
Ho 4.954 -4.601 0.869
Ho 3.202 -1.636 0.091
Ho 0.662 -2.471 2.509
Ho 7.494 -3.767 -1.549
```

***

No. 4
Material: Pm2Pr3SmHo6
Method: DFT, PBE
State: relaxed

Computed properties:
DOS at the Fermi energy in states/eV per atom: 1.098
Energy relative to the elements in eV/atom: 0.013

Structure (extended XYZ):
```
12
Lattice="-4.584 -4.081 1.212 5.087 -1.852 -3.135 4.996 -0.847 10.681" Properties=species:S:1:pos:R:3 pbc="T T T"
Pm 1.862 -2.595 -1.685
Pm -1.359 -3.337 -0.238
Pr 5.972 -2.647 2.930
Pr -0.473 -4.132 5.828
Pr 2.749 -3.390 4.379
Sm 0.000 0.000 0.000
Ho 2.522 -5.461 7.311
Ho 1.618 -4.657 1.212
Ho 2.977 -1.318 1.447
Ho 5.745 -4.718 5.862
Ho 3.881 -2.122 7.546
Ho -0.246 -2.061 2.896
```